First-principles (PBE) data for Cs3K2HoF9 after structural relaxation, as listed in Alexandria via LeMat-Bulk.

Unit cell a=6.8329 b=6.8329 c=8.5439 alpha=90.00 beta=90.00 gamma=120.00
Sites, in units of the cell vectors:
Cs1 0.0000 0.0000 0.0000
Cs2 0.3333 0.6667 0.6974
Cs3 0.6667 0.3333 0.3026
K1 0.3333 0.6667 0.1959
K2 0.6667 0.3333 0.8041
Ho1 0.0000 0.0000 0.5000
F1 0.0000 0.5000 0.0000
F2 0.1487 0.2975 0.3510
F3 0.1487 0.8513 0.3510
F4 0.2975 0.1487 0.6490
F5 0.5000 0.0000 0.0000
F6 0.5000 0.5000 0.0000
F7 0.7025 0.8513 0.3510
F8 0.8513 0.1487 0.6490
F9 0.8513 0.7025 0.6490

- Total magnetization: 1.3 μB per formula unit
- Formation energy (no corrections): -2.95 eV/atom
- DOS at the Fermi energy: 25.53 states/eV/cell